1.
Compound: YCdCo2
Source: Alexandria
Functional: PBE
Structure: relaxed

Cell: 4.6976 4.6976 5.2569 Å, 63.42 63.42 51.30°
Last column: nearest neighbours and their distance in Å.
Atoms (fractional coordinates):
Cd 0.2500 0.2500 0.2500  6 Co 2.60-2.66
Co 0.9724 0.9724 0.1669  2 Co 2.35, 1 Cd 2.60
Co 0.5276 0.5276 0.3331  2 Co 2.35, 1 Cd 2.60
Y 0.7500 0.7500 0.7500  2 Co 2.69

Properties
space-group type	C2/m
final energy	-5.31	eV/atom
DFT formation energy	0.08	eV/atom
N(E_F)	3.9	states/eV/f.u.

=====

2.
Compound: YCdCo2
Source: Alexandria
Functional: PBE
Structure: relaxed

Cell: 3.8312 4.0266 5.1927 Å, 67.22 90.00 90.00°
Last column: nearest neighbours and their distance in Å.
Atoms (fractional coordinates):
Cd 0.5000 0.7747 0.8256  7 Co 2.82-2.92
Co 0.0000 0.1800 0.0146  2 Co 2.19
Co 0.5000 0.0691 0.2371  2 Co 2.19
Y 0.0000 0.4762 0.4228  7 Co 2.81-2.92

Properties
space-group type	Amm2
final energy	-5.40	eV/atom
DFT formation energy	-0.01	eV/atom
N(E_F)	4.0	states/eV/f.u.

=====

3.
Compound: YCd2Co
Source: Alexandria
Functional: PBE
Structure: relaxed

Cell: 3.6106 3.9162 6.3820 Å, 71.97 90.00 90.00°
Last column: nearest neighbours and their distance in Å.
Atoms (fractional coordinates):
Cd 0.0000 0.0568 0.0111  1 Co 2.69
Cd 0.5000 0.4396 0.2445  2 Co 2.67
Co 0.0000 0.2791 0.5684  3 Cd 2.67-2.69, 4 Y 2.74
Y 0.5000 0.7244 0.6760  4 Co 2.74

Properties
space-group type	Pm
final energy	-3.89	eV/atom
DFT formation energy	-0.04	eV/atom
N(E_F)	2.1	states/eV/f.u.

=====

4.
Compound: Y3CdCo
Source: Alexandria
Functional: PBE
Structure: relaxed

Cell: 5.5461 6.4336 8.7260 Å, 114.26 83.99 114.99°
Last column: nearest neighbours and their distance in Å.
Atoms (fractional coordinates):
Y 0.4696 0.7837 0.1108  3 Co 2.75-2.95
Y 0.1301 0.3660 0.6909  1 Co 2.66
Y 0.8684 0.8064 0.7738  2 Co 2.69-2.79
Y 0.1316 0.1936 0.2262  2 Co 2.69-2.79
Y 0.5304 0.2163 0.8892  3 Co 2.75-2.95
Y 0.8699 0.6340 0.3091  1 Co 2.66
Cd 0.5988 0.2332 0.4783  1 Cd 2.90, 3 Y 3.20-3.24
Cd 0.4012 0.7668 0.5217  1 Cd 2.90, 3 Y 3.20-3.24
Co 0.9490 0.6839 0.0175  1 Co 2.55, 5 Y 2.66-2.81
Co 0.0510 0.3161 0.9825  1 Co 2.55, 5 Y 2.66-2.81

Properties
space-group type	P-1
final energy	-5.69	eV/atom
DFT formation energy	-0.21	eV/atom
N(E_F)	5.2	states/eV/f.u.
energy relative to the lowest polymorph listed for this composition	0.0	meV per atom

=====

5.
Compound: Y2Cd2Co
Source: Alexandria
Functional: PBE
Structure: relaxed

Cell: 7.1370 7.1370 4.7022 Å, 90.00 90.00 90.00°
Last column: nearest neighbours and their distance in Å.
Atoms (fractional coordinates):
Y 0.1741 0.6741 0.5000  6 Cd 3.01-3.26
Y 0.6741 0.8259 0.5000  6 Cd 3.01-3.26
Y 0.8259 0.3259 0.5000  6 Cd 3.01-3.26
Y 0.3259 0.1741 0.5000  6 Cd 3.01-3.26
Co 0.0000 0.0000 0.0000  4 Cd 2.76
Co 0.5000 0.5000 0.0000  4 Cd 2.76
Cd 0.3601 0.8601 0.0000  2 Co 2.76, 1 Cd 2.82, 2 Y 3.01
Cd 0.8601 0.6399 0.0000  2 Co 2.76, 1 Cd 2.82, 2 Y 3.01
Cd 0.6399 0.1399 0.0000  2 Co 2.76, 1 Cd 2.82, 2 Y 3.01
Cd 0.1399 0.3601 0.0000  2 Co 2.76, 1 Cd 2.82, 2 Y 3.01

Properties
space-group type	P4/mbm
final energy	-4.31	eV/atom
DFT formation energy	0.06	eV/atom
N(E_F)	6.7	states/eV/f.u.

=====

6.
Compound: YCdCo2
Source: Alexandria
Functional: PBE
Structure: relaxed

Cell: 3.1375 3.1358 7.2050 Å, 90.00 90.00 90.00°
Last column: nearest neighbours and their distance in Å.
Atoms (fractional coordinates):
Cd 0.5000 0.5000 0.8030  5 Co 2.78-2.85
Co 0.0000 0.0000 0.0504  4 Co 2.43
Co 0.5000 0.5000 0.1893  4 Co 2.43
Y 0.0000 0.0000 0.4573  5 Co 2.93-2.94, 4 Y 3.14

Properties
space-group type	P4mm
final energy	-5.34	eV/atom
DFT formation energy	0.06	eV/atom
N(E_F)	4.3	states/eV/f.u.

=====

7.
Compound: YCdCo3
Source: Alexandria
Functional: PBE
Structure: relaxed

Cell: 4.6988 4.6988 4.6988 Å, 90.00 90.00 90.00°
Last column: nearest neighbours and their distance in Å.
Atoms (fractional coordinates):
Y 0.5000 0.5000 0.5000  12 Co 3.32
Co 0.0000 0.5000 0.0000  2 Cd 2.35
Co 0.0000 0.0000 0.5000  2 Cd 2.35
Co 0.5000 0.0000 0.0000  2 Cd 2.35
Cd 0.0000 0.0000 0.0000  6 Co 2.35

Properties
space-group type	Pm-3m
final energy	-4.68	eV/atom
DFT formation energy	1.06	eV/atom
N(E_F)	15.1	states/eV/f.u.
energy relative to the lowest polymorph listed for this composition	0.0	meV per atom

=====

8.
Compound: Y2CdCo
Source: Alexandria
Functional: PBE
Structure: relaxed

Cell: 5.6908 5.6908 5.6908 Å, 135.43 135.43 64.86°
Last column: nearest neighbours and their distance in Å.
Atoms (fractional coordinates):
Cd 0.5000 0.5000 0.0000  8 Y 3.05-3.23, 4 Co 3.23
Co 0.7500 0.2500 0.5000  8 Y 3.05-3.23, 4 Cd 3.23
Y 0.0000 0.0000 0.0000  4 Cd 3.05, 4 Co 3.23, 4 Y 3.23
Y 0.2500 0.7500 0.5000  4 Co 3.05, 4 Cd 3.23, 4 Y 3.23

Properties
space-group type	I-4m2
final energy	-5.17	eV/atom
DFT formation energy	0.07	eV/atom
N(E_F)	4.3	states/eV/f.u.

=====

9.
Compound: Y2CdCo
Source: Alexandria
Functional: PBE
Structure: relaxed

Cell: 3.8712 3.8659 6.6335 Å, 90.00 90.00 90.00°
Last column: nearest neighbours and their distance in Å.
Atoms (fractional coordinates):
Cd 0.0000 0.0000 0.4817  5 Y 2.95-3.13
Co 0.5000 0.5000 0.8394  5 Y 2.74-2.80
Y 0.0000 0.0000 0.9269  4 Co 2.80, 1 Cd 2.95
Y 0.5000 0.5000 0.2520  1 Co 2.74

Properties
space-group type	P4mm
final energy	-5.16	eV/atom
DFT formation energy	0.07	eV/atom
N(E_F)	3.1	states/eV/f.u.

=====

10.
Compound: YCdCo2
Source: Alexandria
Functional: PBE
Structure: relaxed

Cell: 8.4504 8.4504 8.4504 Å, 21.78 21.78 21.78°
Last column: nearest neighbours and their distance in Å.
Atoms (fractional coordinates):
Cd 0.7500 0.7500 0.7500  6 Co 2.74
Co 0.0013 0.0013 0.0013  3 Cd 2.74, 3 Y 2.79
Co 0.4987 0.4987 0.4987  3 Cd 2.74, 3 Y 2.79
Y 0.2500 0.2500 0.2500  6 Co 2.79

Properties
space-group type	R-3m
final energy	-4.93	eV/atom
DFT formation energy	0.47	eV/atom
N(E_F)	4.6	states/eV/f.u.

=====

11.
Compound: YCd3Co
Source: Alexandria
Functional: PBE
Structure: relaxed

Cell: 5.8617 5.8617 5.8617 Å, 90.00 90.00 90.00°
Last column: nearest neighbours and their distance in Å.
Atoms (fractional coordinates):
Y 0.0000 0.0000 0.0000  6 Cd 2.93
Co 0.5000 0.5000 0.5000  12 Cd 4.14
Cd 0.0000 0.5000 0.0000  2 Y 2.93
Cd 0.0000 0.0000 0.5000  2 Y 2.93
Cd 0.5000 0.0000 0.0000  2 Y 2.93

Properties
space-group type	Pm-3m
final energy	-1.92	eV/atom
DFT formation energy	1.34	eV/atom
N(E_F)	4.5	states/eV/f.u.
energy relative to the lowest polymorph listed for this composition	1182.0	meV per atom

=====

12.
Compound: Y2CdCo
Source: Alexandria
Functional: PBE
Structure: relaxed

Cell: 3.4380 3.4590 8.3747 Å, 65.65 90.00 90.00°
Last column: nearest neighbours and their distance in Å.
Atoms (fractional coordinates):
Y 0.0000 0.0356 0.9639  4 Co 2.93-2.94, 1 Y 3.26, 4 Cd 3.27
Y 0.0000 0.4644 0.5361  4 Co 2.93-2.94, 1 Y 3.26, 4 Cd 3.27
Co 0.5000 0.7500 0.7500  8 Y 2.93-2.94
Cd 0.5000 0.2500 0.2500  8 Y 3.27, 4 Cd 3.44-3.46

Properties
space-group type	Pmmm
final energy	-5.49	eV/atom
DFT formation energy	-0.25	eV/atom
N(E_F)	2.8	states/eV/f.u.

=====

13.
Compound: YCd2Co
Source: Alexandria
Functional: PBE
Structure: relaxed

Cell: 5.1751 5.1751 5.6758 Å, 59.08 59.08 42.64°
Last column: nearest neighbours and their distance in Å.
Atoms (fractional coordinates):
Cd 0.9825 0.9825 0.9884  2 Co 2.67, 2 Cd 2.96
Cd 0.1993 0.1993 0.2244  2 Co 2.72, 3 Cd 2.96-3.04
Co 0.5171 0.5171 0.6253  4 Cd 2.67-2.72, 3 Y 2.73-2.86
Y 0.8012 0.8012 0.6619  3 Co 2.73-2.86

Properties
space-group type	Cm
final energy	-3.84	eV/atom
DFT formation energy	0.01	eV/atom
N(E_F)	3.1	states/eV/f.u.

=====

14.
Compound: YCd3Co
Source: Alexandria
Functional: PBE
Structure: relaxed

Cell: 4.9109 4.9109 4.9109 Å, 90.00 90.00 90.00°
Last column: nearest neighbours and their distance in Å.
Atoms (fractional coordinates):
Y 0.5000 0.5000 0.5000  12 Cd 3.47
Co 0.0000 0.0000 0.0000  6 Cd 2.46
Cd 0.0000 0.5000 0.0000  2 Co 2.46
Cd 0.0000 0.0000 0.5000  2 Co 2.46
Cd 0.5000 0.0000 0.0000  2 Co 2.46

Properties
space-group type	Pm-3m
final energy	-3.10	eV/atom
DFT formation energy	0.16	eV/atom
N(E_F)	4.7	states/eV/f.u.
energy relative to the lowest polymorph listed for this composition	0.0	meV per atom

=====

15.
Compound: YCdCo2
Source: Alexandria
Functional: PBE
Structure: relaxed

Cell: 5.2897 5.2897 5.2897 Å, 136.84 136.84 62.68°
Last column: nearest neighbours and their distance in Å.
Atoms (fractional coordinates):
Cd 0.7500 0.2500 0.5000  8 Co 2.75-2.98, 4 Y 2.98
Co 0.0000 0.0000 0.0000  4 Y 2.75, 4 Cd 2.98, 4 Co 2.98
Co 0.2500 0.7500 0.5000  4 Cd 2.75, 4 Co 2.98, 4 Y 2.98
Y 0.5000 0.5000 0.0000  8 Co 2.75-2.98, 4 Cd 2.98

Properties
space-group type	I-4m2
final energy	-5.21	eV/atom
DFT formation energy	0.19	eV/atom
N(E_F)	6.9	states/eV/f.u.

=====

16.
Compound: Y2CdCo
Source: Alexandria
Functional: PBE
Structure: relaxed

Cell: 3.3801 3.3801 8.1899 Å, 90.00 90.00 90.00°
Last column: nearest neighbours and their distance in Å.
Atoms (fractional coordinates):
Cd 0.0000 0.0000 0.5524  4 Co 2.83, 1 Y 3.07
Co 0.5000 0.5000 0.7364  4 Cd 2.83, 4 Y 2.86
Y 0.0000 0.0000 0.9278  4 Co 2.86, 1 Cd 3.07
Y 0.5000 0.5000 0.2834  4 Cd 3.25, 4 Y 3.38

Properties
space-group type	P4mm
final energy	-5.22	eV/atom
DFT formation energy	0.02	eV/atom
N(E_F)	4.0	states/eV/f.u.

=====

17.
Compound: Y6CdCo
Source: Alexandria
Functional: PBE
Structure: relaxed

Cell: 6.8181 6.8254 7.3820 Å, 62.54 62.58 60.03°
Last column: nearest neighbours and their distance in Å.
Atoms (fractional coordinates):
Y 0.0386 0.4120 0.7607  1 Co 2.61
Y 0.7882 0.0382 0.7606  1 Co 2.61
Y 0.5881 0.2112 0.2394  1 Co 2.61
Y 0.2118 0.9618 0.2394  1 Co 2.61
Y 0.9614 0.5880 0.2393  1 Co 2.61
Y 0.4119 0.7888 0.7606  1 Co 2.61
Cd 0.5000 0.5000 0.5000  6 Y 3.03
Co 0.0000 0.0000 0.0000  6 Y 2.61

Properties
space-group type	P-1
final energy	-5.80	eV/atom
DFT formation energy	0.05	eV/atom
N(E_F)	11.8	states/eV/f.u.

=====

18.
Compound: YCdCo2
Source: Alexandria
Functional: PBE
Structure: relaxed

Cell: 3.4120 3.4098 6.1135 Å, 90.00 90.00 90.00°
Last column: nearest neighbours and their distance in Å.
Atoms (fractional coordinates):
Cd 0.5000 0.5000 0.7500  8 Co 2.72
Co 0.0000 0.0000 0.9548  1 Co 2.50, 4 Cd 2.72
Co 0.0000 0.0000 0.5452  1 Co 2.50, 4 Cd 2.72
Y 0.5000 0.5000 0.2500  8 Co 3.01, 2 Cd 3.06

Properties
space-group type	P4/mmm
final energy	-5.24	eV/atom
DFT formation energy	0.16	eV/atom
N(E_F)	5.0	states/eV/f.u.

=====

19.
Compound: YCd2Co
Source: Alexandria
Functional: PBE
Structure: relaxed

Cell: 4.1241 4.1140 4.8709 Å, 90.00 90.00 90.00°
Last column: nearest neighbours and their distance in Å.
Atoms (fractional coordinates):
Cd 0.0000 0.0000 0.0000  4 Cd 2.91, 4 Y 3.19, 4 Co 3.19
Cd 0.5000 0.5000 0.0000  4 Cd 2.91, 4 Co 3.19, 4 Y 3.19
Co 0.5000 0.0000 0.5000  4 Y 2.91, 8 Cd 3.19
Y 0.0000 0.5000 0.5000  4 Co 2.91, 8 Cd 3.19

Properties
space-group type	Pmmm
final energy	-3.81	eV/atom
DFT formation energy	0.04	eV/atom
N(E_F)	3.8	states/eV/f.u.

=====

20.
Compound: YCd2Co
Source: Alexandria
Functional: PBE
Structure: relaxed

Cell: 8.3752 8.3752 8.3752 Å, 24.76 24.76 24.76°
Last column: nearest neighbours and their distance in Å.
Atoms (fractional coordinates):
Cd 0.9943 0.9943 0.9943  3 Cd 3.04, 3 Y 3.30
Cd 0.2361 0.2361 0.2361  3 Co 2.63
Co 0.5030 0.5030 0.5030  3 Cd 2.63, 3 Y 2.68
Y 0.7666 0.7666 0.7666  3 Co 2.68

Properties
space-group type	R3m
final energy	-3.69	eV/atom
DFT formation energy	0.16	eV/atom
N(E_F)	2.4	states/eV/f.u.